Here is a relaxed structure of Nb2MoOs from OQMD. Energies are from PBE-GGA.

a b c (Å): 4.539 4.539 3.203
angles (deg): 90.00 90.00 90.00
Space group P4/mmm (No. 123)
One atom of each set of equivalent atoms:
Nb  0.000  0.500  0.000 x2
Mo  0.000  0.000  0.500 x1
Os  0.500  0.500  0.500 x1

Computed properties:
energy of formation = -231.8 meV per atom
magnetization = 0.000 μB/atom
volume = 66 Å³/f.u.

Here is a relaxed structure of Nb2MoOs from OQMD. Energies are from PBE-GGA.

a b c (Å): 5.069 8.281 6.484
angles (deg): 90.00 90.00 90.00
Space group Pnma (No. 62)
One atom of each set of equivalent atoms:
Nb  0.250  0.055  0.088 x8
Mo  0.000  0.250  0.750 x4
Os  0.248  0.250  0.394 x4

Computed properties:
energy of formation = -36.2 meV per atom
magnetization = 0.002 μB/atom
volume = 68 Å³/f.u.

Here is a relaxed structure of Nb2MoOs from OQMD. Energies are from PBE-GGA.

a b c (Å): 6.403 6.403 6.403
angles (deg): 90.00 90.00 90.00
Space group F-43m (No. 216)
One atom of each set of equivalent atoms:
Nb  0.000  0.000  0.000 x4
Nb  0.250  0.250  0.250 x4
Mo  0.250  0.250  0.750 x4
Os  0.000  0.000  0.500 x4

Computed properties:
energy of formation = -112.1 meV per atom
magnetization = 0.002 μB/atom
volume = 66 Å³/f.u.

Here is a relaxed structure of NbMoPd2 from OQMD. Energies are from PBE-GGA.

a b c (Å): 6.346 6.346 6.346
angles (deg): 90.00 90.00 90.00
Space group F-43m (No. 216)
One atom of each set of equivalent atoms:
Nb  0.000  0.000  0.000 x4
Mo  0.250  0.250  0.250 x4
Pd  0.000  0.000  0.500 x4
Pd  0.250  0.250  0.750 x4

Computed properties:
energy of formation = 46.1 meV per atom
magnetization = 0.023 μB/atom
volume = 64 Å³/f.u.

Number 1: energy -10.80 eV per atom. Number 2: energy -10.60 eV per atom. Number 3: energy -10.68 eV per atom. Number 4: energy -7.78 eV per atom.